(1)
RbOsF2 | PBE-GGA | relaxed

**Electronic total energy**: -4.01 eV/atom
**Formation energy (no corrections)**: -25 meV/atom
**Size of the total moment**: 0.886 μB/atom
**Polymorph energy (0 for the lowest one)**: 0.9622 eV/atom
**Calculated density**: 7.36 g cm⁻³

Cell: 6.567 6.567 6.567 Å, 90.00 90.00 90.00°
Positions (direct):
1 Rb 0.000 0.000 0.000
2 Rb 0.000 0.500 0.500
3 Rb 0.500 0.000 0.500
4 Rb 0.500 0.500 0.000
5 Os 0.000 0.000 0.500
6 Os 0.000 0.500 0.000
7 Os 0.500 0.000 0.000
8 Os 0.500 0.500 0.500
9 F 0.250 0.250 0.250
10 F 0.250 0.250 0.750
11 F 0.250 0.750 0.250
12 F 0.250 0.750 0.750
13 F 0.750 0.250 0.250
14 F 0.750 0.250 0.750
15 F 0.750 0.750 0.250
16 F 0.750 0.750 0.750

***

(2)
HfAg3 | PBE-GGA | relaxed

**Electronic total energy**: -4.54 eV/atom
**Calculated formation energy**: 0.08 eV per atom
**Size of the total moment**: 0.000 μB/atom
**Polymorph energy (0 for the lowest one)**: 0.1005 eV/atom
**Calculated density**: 11.12 g cm⁻³

Cell: 2.928 4.957 5.165 Å, 90.00 90.00 90.00°
Positions (direct):
1 Hf 0.000 0.000 0.000
2 Ag 0.000 0.500 0.671
3 Ag 0.500 0.000 0.498
4 Ag 0.500 0.500 0.173

***

(3)
SrCeTl2Cl8 | PBE-GGA | relaxed

**Electronic total energy**: -4.02 eV/atom
**Formation energy (no corrections)**: -1764 meV/atom
**Size of the total moment**: 0.000 μB/atom
**Calculated density**: 3.46 g cm⁻³

Cell: 7.009 8.837 7.136 Å, 90.00 92.23 90.00°
Positions (direct):
1 Sr 0.000 0.000 0.000
2 Ce 0.000 0.500 0.000
3 Tl 0.500 0.245 0.500
4 Tl 0.500 0.755 0.500
5 Cl 0.206 0.500 0.309
6 Cl 0.211 0.273 0.867
7 Cl 0.211 0.727 0.867
8 Cl 0.259 0.000 0.318
9 Cl 0.741 0.000 0.682
10 Cl 0.789 0.273 0.133
11 Cl 0.789 0.727 0.133
12 Cl 0.794 0.500 0.691